The following is a SCAN calculation of a crystal of HfAl2CdIn relaxed with PBEsol, from the Alexandria database.

Total magnetization   0.00 μB/f.u.
Electronic total energy   -138.4 eV/cell

abc: 4.7498 4.7498 5.3754
angles: 90.00 90.00 90.00
Closest atoms and distances in Å follow each position.
Space group P4/mmm (No. 123)
Unique sites:
Hf (0.0000, 0.0000, 0.0000) x1  2 Cd 2.69
Al (0.0000, 0.5000, 0.5000) x2  2 Cd 2.37
Cd (0.0000, 0.0000, 0.5000) x1  4 Al 2.37
In (0.5000, 0.5000, 0.0000) x1  4 Hf 3.36, 8 Al 3.59

The following is a SCAN calculation of a crystal of SiHgOF2 relaxed with PBEsol, from the Alexandria database.

Total magnetization   0.00 μB/f.u.
Formation energy without anion corrections   -1.499 eV/atom

abc: 4.2773 4.2773 3.3449
angles: 90.00 90.00 90.00
Closest atoms and distances in Å follow each position.
Space group P4/mmm (No. 123)
Unique sites:
Si (0.0000, 0.0000, 0.0000) x1  2 O 1.67
Hg (0.5000, 0.5000, 0.5000) x1  8 F 2.71, 4 O 3.02
O (0.0000, 0.0000, 0.5000) x1  2 Si 1.67
F (0.0000, 0.5000, 0.0000) x2  2 Si 2.14

The following is a SCAN calculation of a crystal of LiAg2Os relaxed with PBEsol, from the Alexandria database.

Total magnetization   0.00 μB/f.u.
Electronic total energy   -271.3 eV/cell

abc: 9.4252 2.6192 4.9270
angles: 90.00 97.29 90.00
Closest atoms and distances in Å follow each position.
Space group Cm (No. 8)
Unique sites:
Li (0.0000, 0.0000, 0.0000) x2  2 Li 2.62, 7 Ag 2.70-2.88, 3 Os 2.82-2.85
Ag (0.0042, 0.5000, 0.5218) x2  5 Ag 2.62-2.90, 4 Li 2.70-2.88, 3 Os 2.75-2.76
Ag (0.2534, 0.5000, 0.2369) x2  5 Ag 2.62-2.90, 3 Li 2.73-2.84, 4 Os 2.77-2.81
Os (0.2505, 0.0000, 0.7409) x2  2 Os 2.62, 7 Ag 2.75-2.81, 3 Li 2.82-2.85

The following is a SCAN calculation of a crystal of LiZr2PN relaxed with PBEsol, from the Alexandria database.

Total magnetization   0.00 μB/f.u.
Formation energy without anion corrections   0.486 eV/atom

abc: 4.8118 4.8118 3.9253
angles: 90.00 90.00 90.00
Closest atoms and distances in Å follow each position.
Space group P4/mmm (No. 123)
Unique sites:
Li (0.0000, 0.0000, 0.0000) x1  2 P 1.96
Zr (0.0000, 0.5000, 0.5000) x2  2 P 2.41
P (0.0000, 0.0000, 0.5000) x1  2 Li 1.96
N (0.5000, 0.5000, 0.0000) x1  8 Zr 3.10, 4 Li 3.40

The following is a SCAN calculation of a crystal of PPtCl2 relaxed with PBEsol, from the Alexandria database.

Total magnetization   0.00 μB/f.u.
Formation energy without anion corrections   1.021 eV/atom

abc: 6.3820 6.3820 6.3820
angles: 90.00 90.00 90.00
Closest atoms and distances in Å follow each position.
Space group Fm-3m (No. 225)
Unique sites:
P (0.0000, 0.0000, 0.0000) x4  8 Cl 2.76
Pt (0.0000, 0.0000, 0.5000) x4  8 Cl 2.76
Cl (0.2500, 0.2500, 0.2500) x8  4 Pt 2.76, 4 P 2.76

The following is a SCAN calculation of a crystal of MgP2H12O11 relaxed with PBEsol, from the Alexandria database.

Total magnetization   0.00 μB/f.u.
Electronic total energy   -350.6 eV/cell

abc: 7.3630 7.6688 9.0799
angles: 68.29 89.71 71.45
Closest atoms and distances in Å follow each position.
Space group P-1 (No. 2)
Unique sites:
Mg (0.1466, 0.2207, 0.2974) x2  6 O 2.04-2.19
P (0.1173, 0.0832, 0.6931) x2  4 O 1.52-1.59
P (0.2637, 0.4203, 0.9361) x2  4 O 1.51-1.61
H (0.0412, 0.3243, 0.7993) x2  1 O 1.04
H (0.1539, 0.6419, 0.5091) x2  1 O 1.01
H (0.1896, 0.7343, 0.8814) x2  1 O 1.07
H (0.2309, 0.8856, 0.0826) x2  1 H 0.77
H (0.2860, 0.9591, 0.0701) x2  1 H 0.77
H (0.3075, 0.4498, 0.3980) x2  1 O 1.01
H (0.3283, 0.8014, 0.4490) x2  1 O 1.00
H (0.3492, 0.4555, 0.2237) x2  1 O 0.98
H (0.3565, 0.4950, 0.6175) x2  1 O 0.99
H (0.4355, 0.9093, 0.8123) x2  1 O 1.00
H (0.4556, 0.7420, 0.1267) x2  1 O 0.99
H (0.4750, 0.9220, 0.3936) x2  1 O 0.99
O (0.0157, 0.1996, 0.7966) x2  1 H 1.04
O (0.0612, 0.2132, 0.5166) x2  1 P 1.52, 1 H 1.58
O (0.0663, 0.8922, 0.7491) x2  1 H 1.40, 1 P 1.53
O (0.0712, 0.4930, 0.8315) x2  1 H 1.51, 1 P 1.53
O (0.2836, 0.5995, 0.9710) x2  1 H 1.07
O (0.2967, 0.5786, 0.5052) x2  2 H 0.99-1.01
O (0.3068, 0.2384, 0.0909) x2  1 P 1.51
O (0.3199, 0.3732, 0.3261) x2  2 H 0.98-1.01
O (0.3383, 0.9385, 0.4075) x2  2 H 0.99-1.00
O (0.3442, 0.0304, 0.7263) x2  1 H 1.00
O (0.4217, 0.3695, 0.8216) x2  1 H 0.99

The following is a SCAN calculation of a crystal of LaSi2Br relaxed with PBEsol, from the Alexandria database.

Total magnetization   0.00 μB/f.u.
Formation energy without anion corrections   -0.101 eV/atom

abc: 7.1362 7.1362 7.1362
angles: 90.00 90.00 90.00
Closest atoms and distances in Å follow each position.
Space group F-43m (No. 216)
Unique sites:
La (0.0000, 0.0000, 0.0000) x4  4 Br 3.09, 4 Si 3.09
Si (0.0000, 0.0000, 0.5000) x4  4 Si 3.09, 4 Br 3.09
Si (0.2500, 0.2500, 0.7500) x4  4 La 3.09, 4 Si 3.09
Br (0.2500, 0.2500, 0.2500) x4  4 La 3.09, 4 Si 3.09

The following is a SCAN calculation of a crystal of KSrLa relaxed with PBEsol, from the Alexandria database.

Total magnetization   3.92 μB/f.u.
Electronic total energy   -284.3 eV/cell

abc: 9.0359 9.0359 9.0359
angles: 90.00 90.00 90.00
Closest atoms and distances in Å follow each position.
Space group F-43m (No. 216)
Unique sites:
K (0.0000, 0.0000, 0.0000) x4  4 La 3.91
Sr (0.0000, 0.0000, 0.5000) x4  4 La 3.91
La (0.2500, 0.2500, 0.7500) x4  4 K 3.91, 4 Sr 3.91

The following is a SCAN calculation of a crystal of InPb5 relaxed with PBEsol, from the Alexandria database.

Total magnetization   0.00 μB/f.u.
Electronic total energy   -824.1 eV/cell

abc: 5.6565 3.4408 17.8777
angles: 90.00 90.00 90.00
Closest atoms and distances in Å follow each position.
Space group Amm2 (No. 38)
Unique sites:
In (0.0000, 0.0000, 0.0000) x2  10 Pb 3.39-3.46, 2 In 3.44
Pb (0.0000, 0.0000, 0.3363) x2  2 In 3.39, 10 Pb 3.41-3.50
Pb (0.0000, 0.0000, 0.6658) x2  2 In 3.43, 10 Pb 3.44-3.50
Pb (0.5000, 0.0000, 0.1081) x2  10 Pb 3.41-3.47, 2 In 3.43
Pb (0.5000, 0.0000, 0.4434) x2  8 Pb 3.41-3.45, 4 In 3.46
Pb (0.5000, 0.0000, 0.7764) x2  12 Pb 3.44-3.48

The following is a SCAN calculation of a crystal of AlOs3 relaxed with PBEsol, from the Alexandria database.

Total magnetization   0.00 μB/f.u.
Electronic total energy   -223.5 eV/cell

abc: 2.7564 3.7922 5.3418
angles: 90.00 90.00 90.00
Closest atoms and distances in Å follow each position.
Space group Pmmm (No. 47)
Unique sites:
Al (0.0000, 0.0000, 0.0000) x1  10 Os 2.67-2.70, 2 Al 2.76
Os (0.0000, 0.0000, 0.5000) x1  2 Al 2.67, 10 Os 2.70-2.76
Os (0.5000, 0.5000, 0.2492) x2  8 Os 2.66-2.76, 4 Al 2.70

The following is a SCAN calculation of a crystal of HfNbHgGe2 relaxed with PBEsol, from the Alexandria database.

Total magnetization   0.00 μB/f.u.
Electronic total energy   -197.2 eV/cell

abc: 5.0529 5.0529 4.9282
angles: 90.00 90.00 90.00
Closest atoms and distances in Å follow each position.
Space group P4/mmm (No. 123)
Unique sites:
Hf (0.0000, 0.0000, 0.0000) x1  2 Nb 2.46, 4 Ge 2.53
Nb (0.0000, 0.0000, 0.5000) x1  2 Hf 2.46
Hg (0.5000, 0.5000, 0.5000) x1  8 Ge 3.53, 4 Nb 3.57
Ge (0.0000, 0.5000, 0.0000) x2  2 Hf 2.53

The following is a SCAN calculation of a crystal of LiAl2Ag relaxed with PBEsol, from the Alexandria database.

Total magnetization   0.00 μB/f.u.
Electronic total energy   -200.0 eV/cell

abc: 6.2627 6.2627 6.2627
angles: 90.00 90.00 90.00
Closest atoms and distances in Å follow each position.
Space group Fm-3m (No. 225)
Unique sites:
Li (0.0000, 0.0000, 0.0000) x4  8 Al 2.71
Al (0.2500, 0.2500, 0.2500) x8  4 Ag 2.71, 4 Li 2.71
Ag (0.0000, 0.0000, 0.5000) x4  8 Al 2.71

The following is a SCAN calculation of a crystal of NaIrPdF2 relaxed with PBEsol, from the Alexandria database.

Total magnetization   0.76 μB/f.u.
Formation energy without anion corrections   -0.484 eV/atom

abc: 4.1264 4.1264 4.9789
angles: 90.00 90.00 90.00
Closest atoms and distances in Å follow each position.
Space group P4/mmm (No. 123)
Unique sites:
Na (0.0000, 0.0000, 0.0000) x1  4 Pd 2.92, 8 F 3.23
Ir (0.5000, 0.5000, 0.5000) x1  4 F 2.06
Pd (0.5000, 0.5000, 0.0000) x1  2 Ir 2.49
F (0.0000, 0.5000, 0.5000) x2  2 Ir 2.06

The following is a SCAN calculation of a crystal of LiLaY2 relaxed with PBEsol, from the Alexandria database.

Total magnetization   1.42 μB/f.u.
Electronic total energy   -100.4 eV/cell

abc: 4.8036 4.8036 5.1009
angles: 90.00 90.00 90.00
Closest atoms and distances in Å follow each position.
Space group P4/mmm (No. 123)
Unique sites:
Li (0.0000, 0.0000, 0.0000) x1  4 La 3.40, 8 Y 3.50
La (0.5000, 0.5000, 0.0000) x1  4 Li 3.40, 8 Y 3.50
Y (0.0000, 0.5000, 0.5000) x2  4 Y 3.40, 4 La 3.50, 4 Li 3.50

The following is a SCAN calculation of a crystal of Hg3AsAu relaxed with PBEsol, from the Alexandria database.

Total magnetization   0.00 μB/f.u.
Electronic total energy   -291.9 eV/cell

abc: 5.2030 5.2030 5.2030
angles: 90.00 90.00 90.00
Closest atoms and distances in Å follow each position.
Space group Pm-3m (No. 221)
Unique sites:
Hg (0.0000, 0.0000, 0.5000) x3  2 As 2.60
As (0.0000, 0.0000, 0.0000) x1  6 Hg 2.60
Au (0.5000, 0.5000, 0.5000) x1  12 Hg 3.68

The following is a SCAN calculation of a crystal of AlPIr2 relaxed with PBEsol, from the Alexandria database.

Total magnetization   0.00 μB/f.u.
Electronic total energy   -324.5 eV/cell

abc: 2.8707 3.7471 10.6011
angles: 90.00 90.00 90.00
Closest atoms and distances in Å follow each position.
Space group Imm2 (No. 44)
Unique sites:
Al (0.0000, 0.0000, 0.0000) x2  6 Ir 2.54-2.63
P (0.0000, 0.5000, 0.2644) x2  6 Ir 2.34-2.45
Ir (0.0000, 0.0000, 0.5895) x2  2 P 2.34, 4 Al 2.54
Ir (0.0000, 0.5000, 0.8258) x2  4 P 2.45, 2 Al 2.63

The following is a SCAN calculation of a crystal of Al3TlTc relaxed with PBEsol, from the Alexandria database.

Total magnetization   3.77 μB/f.u.
Electronic total energy   -122.8 eV/cell

abc: 5.0292 5.0292 5.0292
angles: 90.00 90.00 90.00
Closest atoms and distances in Å follow each position.
Space group Pm-3m (No. 221)
Unique sites:
Al (0.0000, 0.0000, 0.5000) x3  2 Tl 2.51
Tl (0.0000, 0.0000, 0.0000) x1  6 Al 2.51
Tc (0.5000, 0.5000, 0.5000) x1  12 Al 3.56

The following is a SCAN calculation of a crystal of CsLiAsSe2 relaxed with PBEsol, from the Alexandria database.

Total magnetization   0.00 μB/f.u.
Formation energy without anion corrections   -0.120 eV/atom

abc: 5.0123 5.0123 4.8107
angles: 90.00 90.00 90.00
Closest atoms and distances in Å follow each position.
Space group P4/mmm (No. 123)
Unique sites:
Cs (0.0000, 0.0000, 0.0000) x1  8 Se 3.47, 4 As 3.54
Li (0.5000, 0.5000, 0.5000) x1  2 As 2.41, 4 Se 2.51
As (0.5000, 0.5000, 0.0000) x1  2 Li 2.41
Se (0.0000, 0.5000, 0.5000) x2  2 Li 2.51

The following is a SCAN calculation of a crystal of PrCrSb3 relaxed with PBEsol, from the Alexandria database.

Total magnetization   2.65 μB/f.u.
Formation energy without anion corrections   -0.583 eV/atom

abc: 13.0036 6.1615 5.9871
angles: 90.00 90.00 90.00
Closest atoms and distances in Å follow each position.
Space group Pbcm (No. 57)
Unique sites:
Pr (0.1925, 0.0031, 0.2500) x4  9 Sb 3.22-3.32, 2 Cr 3.54
Cr (0.4077, 0.7500, 0.0000) x4  6 Sb 2.66-2.69
Sb (0.0015, 0.7500, 0.0000) x4  4 Sb 2.99-3.08, 4 Pr 3.29-3.30
Sb (0.2838, 0.0009, 0.7500) x4  2 Cr 2.69
Sb (0.4382, 0.1003, 0.2500) x4  4 Cr 2.66-2.67

The following is a SCAN calculation of a crystal of LiRuSe2Br relaxed with PBEsol, from the Alexandria database.

Total magnetization   0.00 μB/f.u.
Formation energy without anion corrections   -0.122 eV/atom

abc: 4.7067 4.7067 5.4897
angles: 90.00 90.00 90.00
Closest atoms and distances in Å follow each position.
Space group P4/mmm (No. 123)
Unique sites:
Li (0.0000, 0.0000, 0.0000) x1  4 Br 3.33, 8 Se 3.62
Ru (0.5000, 0.5000, 0.5000) x1  4 Se 2.35
Se (0.0000, 0.5000, 0.5000) x2  2 Ru 2.35
Br (0.5000, 0.5000, 0.0000) x1  2 Ru 2.74